(1)
A geometry-optimized CaHf2Ru2 structure, computed with PBE-GGA.

As for the total magnetization: 0.000 μB per atom. Its crystal system is tetragonal. The excess energy over the best structure of this formula in the dataset is 0.0363 eV per atom. The calculated density comes out at 9.1 g/cm3. The value obtained for the formation energy is -303 meV per atom.

The structure belongs to space group I4/mmm (No. 139); the cell edges are 4.382, 4.382 and 11.398 Å and the angles 90.00°, 90.00° and 90.00°. The distinct sites, in fractional coordinates, are Ca at (0.000, 0.000, 0.000), Hf at (0.000, 0.500, 0.250) and Ru at (0.000, 0.000, 0.387).



(2)
A geometry-optimized Ca2Hf2Ru structure, computed with PBE-GGA.

As for the total magnetization: 0.114 μB per atom. Its crystal system is tetragonal. The excess energy over the best structure of this formula in the dataset is 0.0000 eV per atom. The calculated density comes out at 6.5 g/cm3. The value obtained for the formation energy is 824 meV per atom.

The structure belongs to space group I4/mmm (No. 139); the cell edges are 3.815, 3.815 and 18.875 Å and the angles 90.00°, 90.00° and 90.00°. The distinct sites, in fractional coordinates, are Ca at (0.000, 0.000, 0.085), Hf at (0.000, 0.500, 0.250) and Ru at (0.000, 0.000, 0.500).



(3)
A geometry-optimized CaHf2Ru2 structure, computed with PBE-GGA.

As for the total magnetization: 0.000 μB per atom. Its crystal system is tetragonal. The excess energy over the best structure of this formula in the dataset is 0.0000 eV per atom. The calculated density comes out at 10.0 g/cm3. The value obtained for the formation energy is -339 meV per atom.

The structure belongs to space group P4/mbm (No. 127); the cell edges are 7.878, 7.878 and 3.197 Å and the angles 90.00°, 90.00° and 90.00°. The distinct sites, in fractional coordinates, are Ca at (0.000, 0.000, 0.000), Hf at (0.143, 0.357, 0.500) and Ru at (0.145, 0.645, 0.000).



(4)
A geometry-optimized CaHf3Ru structure, computed with PBE-GGA.

As for the total magnetization: 0.000 μB per atom. Its crystal system is cubic. The excess energy over the best structure of this formula in the dataset is 0.0000 eV per atom. The calculated density comes out at 8.6 g/cm3. The value obtained for the formation energy is 218 meV per atom.

The structure belongs to space group Pm-3m (No. 221); the cell edges are 5.066, 5.066 and 5.066 Å and the angles 90.00°, 90.00° and 90.00°. The distinct sites, in fractional coordinates, are Ca at (0.000, 0.000, 0.000), Hf at (0.000, 0.500, 0.500) and Ru at (0.500, 0.500, 0.500).



(5)
A geometry-optimized CaHfRu2 structure, computed with PBE-GGA.

As for the total magnetization: 0.000 μB per atom. Its crystal system is tetragonal. The calculated density comes out at 9.4 g/cm3. The value obtained for the formation energy is -231 meV per atom.

The structure belongs to space group P4/mmm (No. 123); the cell edges are 3.270, 3.270 and 6.936 Å and the angles 90.00°, 90.00° and 90.00°. The distinct sites, in fractional coordinates, are Ca at (0.000, 0.000, 0.000), Hf at (0.000, 0.000, 0.500) and Ru at (0.500, 0.500, 0.284).



(6)
A geometry-optimized CaHf3Ru structure, computed with PBE-GGA.

As for the total magnetization: 0.000 μB per atom. Its crystal system is cubic. The excess energy over the best structure of this formula in the dataset is 1.8532 eV per atom. The calculated density comes out at 10.1 g/cm3. The value obtained for the formation energy is 2071 meV per atom.

The structure belongs to space group Pm-3m (No. 221); the cell edges are 4.816, 4.816 and 4.816 Å and the angles 90.00°, 90.00° and 90.00°. The distinct sites, in fractional coordinates, are Ca at (0.000, 0.000, 0.000), Hf at (0.000, 0.000, 0.500) and Ru at (0.500, 0.500, 0.500).